The following is a PBE calculation of an optimized crystal structure of Pr5SmBi6, from Alexandria via LeMat-Bulk.

Unit cell a=8.0166 b=8.0166 c=8.0171 alpha=99.61 beta=99.61 gamma=120.00
Fractional positions:
Pr  0.0000  0.0000  0.0000
Pr  0.1663  0.8337  0.5000
Pr  0.3323  0.6677  0.0000
Pr  0.6677  0.3323  0.0000
Pr  0.8337  0.1663  0.5000
Sm  0.5000  0.5000  0.5000
Bi  0.0868  0.4175  0.2521
Bi  0.2526  0.2526  0.7490
Bi  0.4175  0.0868  0.2521
Bi  0.5825  0.9132  0.7479
Bi  0.7474  0.7474  0.2510
Bi  0.9132  0.5825  0.7479

Output
D(E_F) in states/eV per atom: 0.164
Energy of formation in kcal/mol of atoms: -22.00